Here is a relaxed structure of AcTbAg from Alexandria via LeMat-Bulk. Energies are from PBE-GGA.

Cell: 5.004 5.004 7.766 Å, 90.01 90.01 90.00°
Element x y z (fractional)
Ac1 0.814 0.866 0.546
Ac2 0.314 0.367 0.293
Ag1 0.814 0.866 0.142
Ag2 0.314 0.366 0.697
Tb1 0.814 0.367 0.920
Tb2 0.314 0.866 0.920

The crystal system is tetragonal. The value obtained for the density of states at the Fermi level is 3.210 states/eV/f.u. The calculation puts the density at 8.4 g/cm³. The spin magnetization comes out at 0.0 μB/f.u. The value obtained for the calculated formation energy is -0.156 eV/atom.